1.
Here is a relaxed structure of SiPIr2 from the Alexandria database. Energies are from PBE-GGA.

- Energy above the lowest structure with this stoichiometry: 1.56 eV per formula unit
- Energy relative to the elements, uncorrected: 23 meV per atom
- Size of the total moment: 0.00 μB per formula unit
- DOS(E_F): 1.6 states/eV/f.u.

Cell: 5.129 5.129 5.129 Å, 139.72 139.72 58.27°
Fractional positions:
Ir (0.000, 0.000, 0.000)
Ir (0.250, 0.750, 0.500)
P (0.500, 0.500, 0.000)
Si (0.750, 0.250, 0.500)



2.
Here is a relaxed structure of Nd4OsPtBr2 from the Alexandria database. Energies are from PBE-GGA.

- Energy relative to the elements, uncorrected: -992 meV per atom
- Size of the total moment: 0.00 μB per formula unit
- DOS(E_F): 1.9 states/eV/f.u.

Cell: 4.187 7.225 8.157 Å, 107.04 90.00 90.00°
Fractional positions:
Nd (0.500, 0.242, 0.195)
Nd (0.500, 0.758, 0.805)
Nd (0.000, 0.278, 0.802)
Nd (0.000, 0.722, 0.198)
Os (0.500, 0.500, 0.000)
Pt (0.000, 0.000, 0.000)
Br (0.500, 0.000, 0.500)
Br (0.000, 0.500, 0.500)



3.
Here is a relaxed structure of CsYZnSe3 from the Alexandria database. Energies are from PBE-GGA.

- Energy relative to the elements, uncorrected: -1407 meV per atom
- Size of the total moment: 0.00 μB per formula unit
- DOS(E_F): 0.0 states/eV/f.u.

Cell: 4.190 9.739 10.303 Å, 111.72 90.00 90.00°
Fractional positions:
Cs (0.250, 0.216, 0.243)
Cs (0.750, 0.784, 0.757)
Y (0.250, 0.668, 0.138)
Y (0.750, 0.332, 0.862)
Zn (0.250, 0.083, 0.610)
Zn (0.750, 0.917, 0.390)
Se (0.750, 0.877, 0.142)
Se (0.250, 0.123, 0.858)
Se (0.250, 0.807, 0.456)
Se (0.750, 0.193, 0.544)
Se (0.750, 0.475, 0.156)
Se (0.250, 0.525, 0.844)



4.
Here is a relaxed structure of CeEr4Ir4 from the Alexandria database. Energies are from PBE-GGA.

- Size of the total moment: 0.00 μB per formula unit
- DOS(E_F): 5.7 states/eV/f.u.
- DFT formation energy: -6.4 eV per formula unit

Cell: 5.690 8.749 8.749 Å, 90.00 90.00 90.00°
Fractional positions:
Ce (0.000, 0.000, 0.000)
Ce (0.500, 0.500, 0.500)
Er (0.400, 0.326, 0.910)
Er (0.900, 0.590, 0.826)
Er (0.400, 0.674, 0.090)
Er (0.100, 0.174, 0.590)
Er (0.600, 0.910, 0.674)
Er (0.100, 0.826, 0.410)
Er (0.900, 0.410, 0.174)
Er (0.600, 0.090, 0.326)
Ir (0.599, 0.773, 0.373)
Ir (0.599, 0.227, 0.627)
Ir (0.099, 0.873, 0.727)
Ir (0.901, 0.273, 0.873)
Ir (0.901, 0.727, 0.127)
Ir (0.401, 0.373, 0.227)
Ir (0.401, 0.627, 0.773)
Ir (0.099, 0.127, 0.273)



5.
Here is a relaxed structure of HoEr2Se from the Alexandria database. Energies are from PBE-GGA.

- Energy above the lowest structure with this stoichiometry: 1.14 eV per formula unit
- Energy relative to the elements, uncorrected: -510 meV per atom
- Size of the total moment: 0.54 μB per formula unit
- DOS(E_F): 5.0 states/eV/f.u.

Cell: 3.661 3.661 10.530 Å, 79.99 79.99 60.00°
Last column: magnetic moment on the atom in μB.
Fractional positions:
Ho (0.000, 0.000, 0.000)  0.27
Se (0.500, 0.500, 0.500)  0.00
Er (0.108, 0.108, 0.676)  0.04
Er (0.892, 0.892, 0.324)  0.04



6.
Here is a relaxed structure of ScPaWC3 from the Alexandria database. Energies are from PBE-GGA.

- Size of the total moment: 0.00 μB per formula unit
- DOS(E_F): 2.6 states/eV/f.u.
- DFT formation energy: -2.4 eV per formula unit

Cell: 3.344 5.727 8.481 Å, 102.94 90.00 90.00°
Fractional positions:
Sc (0.250, 0.771, 0.051)
Sc (0.750, 0.229, 0.949)
Pa (0.750, 0.646, 0.694)
Pa (0.250, 0.354, 0.306)
W (0.250, 0.131, 0.636)
W (0.750, 0.869, 0.364)
C (0.250, 0.755, 0.483)
C (0.750, 0.053, 0.174)
C (0.750, 0.562, 0.178)
C (0.750, 0.245, 0.517)
C (0.250, 0.438, 0.822)
C (0.250, 0.947, 0.826)



7.
Here is a relaxed structure of ZrMn2In from the Alexandria database. Energies are from PBE-GGA.

- Size of the total moment: 1.90 μB per formula unit
- DOS(E_F): 3.8 states/eV/f.u.
- DFT formation energy: 1.3 eV per formula unit

Cell: 4.378 3.002 5.458 Å, 84.62 90.00 90.00°
Last column: magnetic moment on the atom in μB.
Fractional positions:
In (0.500, 0.750, 0.750)  -0.03
Mn (0.000, 0.885, 0.067)  1.11
Mn (0.000, 0.615, 0.433)  1.11
Zr (0.500, 0.250, 0.250)  -0.28



8.
Here is a relaxed structure of MgBeAs from the Alexandria database. Energies are from PBE-GGA.

- Energy above the lowest structure with this stoichiometry: 0.74 eV per formula unit
- Size of the total moment: 0.00 μB per formula unit
- DOS(E_F): 1.8 states/eV/f.u.
- DFT formation energy: 0.2 eV per formula unit

Cell: 4.168 4.168 4.168 Å, 60.00 60.00 60.00°
Fractional positions:
Be (0.750, 0.750, 0.750)
As (0.500, 0.500, 0.500)
Mg (0.000, 0.000, 0.000)



9.
Here is a relaxed structure of ReNi2Hg from the Alexandria database. Energies are from PBE-GGA.

- Size of the total moment: 0.00 μB per formula unit
- DOS(E_F): 3.7 states/eV/f.u.
- DFT formation energy: 0.7 eV per formula unit

Cell: 2.747 2.747 7.594 Å, 90.00 90.00 90.00°
Fractional positions:
Hg (0.500, 0.500, 0.750)
Ni (0.000, 0.000, 0.024)
Ni (0.000, 0.000, 0.476)
Re (0.500, 0.500, 0.250)



10.
Here is a relaxed structure of TaNb from the Alexandria database. Energies are from PBE-GGA.

- Energy above the lowest structure with this stoichiometry: 0.00 eV per formula unit
- Size of the total moment: 0.00 μB per formula unit
- DOS(E_F): 3.2 states/eV/f.u.
- DFT formation energy: 0.0 eV per formula unit

Cell: 2.890 5.746 4.669 Å, 90.00 90.00 109.31°
Fractional positions:
Ta (0.734, 0.376, 0.750)
Ta (0.266, 0.624, 0.250)
Nb (0.236, 0.124, 0.250)
Nb (0.764, 0.876, 0.750)



11.
Here is a relaxed structure of HoTlIn2Cl6 from the Alexandria database. Energies are from PBE-GGA.

- Energy relative to the elements, uncorrected: -1462 meV per atom
- Size of the total moment: 0.00 μB per formula unit
- DOS(E_F): 0.0 states/eV/f.u.

Cell: 7.817 7.817 8.011 Å, 60.77 60.78 59.95°
Fractional positions:
Ho (0.322, 0.322, 0.034)
Tl (0.812, 0.812, 0.564)
In (0.528, 0.528, 0.416)
In (0.020, 0.020, 0.939)
Cl (0.560, 0.203, 0.242)
Cl (0.203, 0.995, 0.242)
Cl (0.995, 0.560, 0.242)
Cl (0.426, 0.663, 0.778)
Cl (0.663, 0.133, 0.779)
Cl (0.133, 0.426, 0.778)



12.
Here is a relaxed structure of Dy3Ho5N8 from the Alexandria database. Energies are from PBE-GGA.

- Energy relative to the elements, uncorrected: -1730 meV per atom
- Size of the total moment: 0.00 μB per formula unit
- DOS(E_F): 0.5 states/eV/f.u.

Cell: 6.918 6.918 6.918 Å, 60.00 60.00 60.00°
Fractional positions:
Dy (0.500, 0.000, 0.500)
Dy (0.000, 0.000, 0.500)
Dy (0.000, 0.500, 0.500)
Ho (0.500, 0.000, 0.000)
Ho (0.500, 0.500, 0.000)
Ho (0.000, 0.000, 0.000)
Ho (0.000, 0.500, 0.000)
Ho (0.500, 0.500, 0.500)
N (0.250, 0.250, 0.751)
N (0.250, 0.749, 0.751)
N (0.749, 0.250, 0.751)
N (0.750, 0.750, 0.751)
N (0.750, 0.750, 0.249)
N (0.750, 0.251, 0.249)
N (0.251, 0.750, 0.249)
N (0.250, 0.250, 0.249)